Below is Tb2Pm2NdSm after structural relaxation, with properties calculated at the PBE-GGA level.

Output
Magnetization (Bohr magnetons per cell): 0.0
Calculated formation energy (eV per atom): 0.26

The structure in extended XYZ format:
```
12
Lattice="6.653 0.000 0.000 0.000 18.133 0.000 0.000 0.000 3.424" Properties=species:S:1:pos:R:3 pbc="T T T"
Tb 1.479 2.683 0.000
Tb 1.848 11.750 1.712
Tb 4.805 6.384 1.712
Tb 5.174 15.450 0.000
Pm 1.496 5.698 1.712
Pm 1.830 14.765 0.000
Pm 4.823 3.368 0.000
Pm 5.156 12.435 1.712
Nd 0.000 9.067 1.712
Nd 3.326 0.000 0.000
Sm 0.000 0.000 1.712
Sm 3.326 9.067 0.000
```